Density functional theory data (PBE) for Pa6CdPd after structural relaxation.

The magnetic moment is 0.14 μB/cell. The calculated formation energy comes out at 135.6 meV per atom. The final energy comes out at -7.75 eV per atom.

It has space group R-3 (No. 148, hexagonal axes), with a = 9.0176 Å, b = 9.0176 Å, c = 8.2238 Å, α = 90.00°, β = 90.00° and γ = 120.00°. The asymmetric unit holds Pa at (0.0111, 0.2652, 0.2100), Cd at (0.0000, 0.0000, 0.5000) and Pd at (0.0000, 0.0000, 0.0000).